# 1
The following is a PBE calculation of an optimized crystal structure of AlTe2W, from the Alexandria database.

Cell lengths 6.393, 6.393, 7.404 Å; angles 64.42, 64.42, 90.00 degrees
Site moments in Bohr magnetons follow the coordinates.
Sites, in units of the cell vectors:
Te 0.636 0.125 0.250  -0.01
Te 0.375 0.364 0.750  -0.01
Te 0.875 0.886 0.750  -0.01
W 0.750 0.250 0.500  0.76
W 0.000 0.000 0.000  0.74
Te 0.114 0.625 0.250  -0.01
Al 0.500 0.500 0.000  0.01
Al 0.250 0.750 0.500  0.01

Computed properties:
Raw formation energy, meV per atom: 695.7
Space-group type: I-42d, No. 122
Electronic total energy, eV per cell: -40.4
DOS(E_F), states/eV per cell: 9.1

# 2
The following is a PBE calculation of an optimized crystal structure of La2BiSb3Pd4, from the Alexandria database.

Cell lengths 4.657, 4.657, 10.969 Å; angles 90.00, 90.00, 90.00 degrees
Sites, in units of the cell vectors:
Pd 0.500 0.500 0.000
Pd 0.500 0.000 0.637
Bi 0.500 0.500 0.500
Pd 0.000 0.500 0.363
Sb 0.000 0.500 0.126
Sb 0.500 0.000 0.874
La 0.000 0.500 0.770
La 0.500 0.000 0.230
Pd 0.000 0.000 0.000
Sb 0.000 0.000 0.500

Computed properties:
Raw formation energy, meV per atom: -841.7
Space-group type: P-4m2, No. 115
Electronic total energy, eV per cell: -55.3
DOS(E_F), states/eV per cell: 4.7

# 3
The following is a PBE calculation of an optimized crystal structure of Na2DySnTe4, from the Alexandria database.

Cell lengths 4.380, 7.740, 7.990 Å; angles 108.49, 90.00, 90.00 degrees
Sites, in units of the cell vectors:
Te 0.000 0.256 0.770
Na 0.500 0.000 0.500
Na 0.000 0.500 0.500
Te 0.500 0.245 0.231
Te 0.500 0.755 0.769
Sn 0.000 0.000 0.000
Te 0.000 0.744 0.230
Dy 0.500 0.500 0.000

Computed properties:
Raw formation energy, meV per atom: -889.3
Space-group type: P2/m, No. 10
Electronic total energy, eV per cell: -30.9
DOS(E_F), states/eV per cell: 2.4

# 4
The following is a PBE calculation of an optimized crystal structure of CsKNa2Hg4, from the Alexandria database.

Cell lengths 5.372, 5.372, 12.516 Å; angles 77.61, 77.61, 60.00 degrees
Sites, in units of the cell vectors:
Na 0.758 0.758 0.726
Hg 0.595 0.595 0.214
Hg 0.106 0.106 0.681
Na 0.242 0.242 0.274
Hg 0.894 0.894 0.319
Cs 0.000 0.000 0.000
K 0.500 0.500 0.500
Hg 0.405 0.405 0.786

Computed properties:
Space-group type: R-3m, No. 166
Formation energy, meV per atom: -228
Electronic total energy, eV per cell: -7.6
DOS(E_F), states/eV per cell: 3.5

# 5
The following is a PBE calculation of an optimized crystal structure of ErScPa2P4, from the Alexandria database.

Cell lengths 3.928, 6.755, 6.797 Å; angles 70.39, 90.00, 90.00 degrees
Sites, in units of the cell vectors:
Er 0.000 0.500 0.500
Pa 0.000 0.000 0.000
P 0.000 0.258 0.242
P 0.500 0.745 0.246
Sc 0.500 0.500 0.000
P 0.000 0.742 0.758
P 0.500 0.255 0.754
Pa 0.500 0.000 0.500

Computed properties:
Space-group type: P2/m, No. 10
Formation energy, meV per atom: -1413
Electronic total energy, eV per cell: -62.8
DOS(E_F), states/eV per cell: 6.8

# 6
The following is a PBE calculation of an optimized crystal structure of Tb2Pr2NdSm2, from the Alexandria database.

Cell lengths 5.145, 6.302, 8.159 Å; angles 97.33, 90.00, 114.09 degrees
Sites, in units of the cell vectors:
Tb 0.428 0.857 0.285
Tb 0.572 0.143 0.715
Sm 0.285 0.571 0.859
Pr 0.142 0.285 0.428
Nd 0.000 0.000 0.000
Sm 0.715 0.429 0.141
Pr 0.858 0.715 0.572

Computed properties:
Space-group type: C2/m, No. 12
Formation energy, meV per atom: 15
Electronic total energy, eV per cell: -32.9
DOS(E_F), states/eV per cell: 10.2

# 7
The following is a PBE calculation of an optimized crystal structure of Co, from the Alexandria database.

Cell lengths 4.794, 4.794, 4.079 Å; angles 90.00, 90.00, 90.00 degrees
Site moments in Bohr magnetons follow the coordinates.
Sites, in units of the cell vectors:
Co 0.670 0.830 0.500  1.66
Co 0.670 0.170 0.000  1.66
Co 0.830 0.670 0.000  1.66
Co 0.170 0.670 0.500  1.66
Co 0.830 0.330 0.500  1.66
Co 0.330 0.830 0.000  1.66
Co 0.170 0.330 0.000  1.66
Co 0.330 0.170 0.500  1.66

Computed properties:
ΔE to the lowest computed polymorph, meV/atom: 235.9
Space-group type: I4/mcm, No. 140
Formation energy, meV per atom: 236
Electronic total energy, eV per cell: -55.0
DOS(E_F), states/eV per cell: 5.8

# 8
The following is a PBE calculation of an optimized crystal structure of KLaI2, from the Alexandria database.

Cell lengths 4.050, 4.050, 8.446 Å; angles 90.00, 90.00, 90.00 degrees
Sites, in units of the cell vectors:
I 0.000 0.000 0.777
K 0.500 0.500 0.500
La 0.500 0.500 0.000
I 0.000 0.000 0.223

Computed properties:
ΔE to the lowest computed polymorph, meV/atom: 0.0
Raw formation energy, meV per atom: -1093.1
Space-group type: P4/mmm, No. 123
Electronic total energy, eV per cell: -13.5
DOS(E_F), states/eV per cell: 2.2

# 9
The following is a PBE calculation of an optimized crystal structure of La2CeDy, from the Alexandria database.

Cell lengths 5.078, 5.140, 5.140 Å; angles 90.00, 90.00, 90.00 degrees
Site moments in Bohr magnetons follow the coordinates.
Sites, in units of the cell vectors:
La 0.000 0.000 0.500  0.02
Ce 0.500 0.000 0.000  0.72
Dy 0.500 0.500 0.500  0.02
La 0.000 0.500 0.000  0.02

Computed properties:
ΔE to the lowest computed polymorph, meV/atom: 14.8
Space-group type: P4/mmm, No. 123
Formation energy, meV per atom: 77
Electronic total energy, eV per cell: -20.1
DOS(E_F), states/eV per cell: 8.6

# 10
The following is a PBE calculation of an optimized crystal structure of Re3SbW, from the Alexandria database.

Cell lengths 4.709, 4.709, 4.709 Å; angles 90.00, 90.00, 90.00 degrees
Sites, in units of the cell vectors:
Re 0.000 0.500 0.000
Re 0.000 0.000 0.500
W 0.500 0.500 0.500
Sb 0.000 0.000 0.000
Re 0.500 0.000 0.000

Computed properties:
ΔE to the lowest computed polymorph, meV/atom: 713.8
Raw formation energy, meV per atom: 2863.9
Space-group type: Pm-3m, No. 221
Electronic total energy, eV per cell: -40.1
DOS(E_F), states/eV per cell: 4.9

# 11
The following is a PBE calculation of an optimized crystal structure of ErAlPtRh, from the Alexandria database.

Cell lengths 4.599, 4.599, 4.599 Å; angles 60.00, 60.00, 60.00 degrees
Sites, in units of the cell vectors:
Rh 0.250 0.250 0.250
Er 0.000 0.000 0.000
Pt 0.750 0.750 0.750
Al 0.500 0.500 0.500

Computed properties:
Space-group type: F-43m, No. 216
Formation energy, meV per atom: -981
Electronic total energy, eV per cell: -25.6
DOS(E_F), states/eV per cell: 1.8

# 12
The following is a PBE calculation of an optimized crystal structure of CaAc8Ru2, from the Alexandria database.

Cell lengths 7.052, 8.280, 8.280 Å; angles 66.19, 92.65, 92.65 degrees
Sites, in units of the cell vectors:
Ru 0.003 0.222 0.222
Ac 0.588 0.132 0.132
Ac 0.412 0.868 0.868
Ac 0.820 0.131 0.563
Ru 0.997 0.778 0.778
Ac 0.302 0.381 0.381
Ac 0.698 0.619 0.619
Ac 0.820 0.563 0.131
Ac 0.180 0.437 0.869
Ac 0.180 0.869 0.437
Ca 0.000 0.000 0.000

Computed properties:
ΔE to the lowest computed polymorph, meV/atom: 19.2
Space-group type: C2/m, No. 12
Formation energy, meV per atom: -26
Electronic total energy, eV per cell: -53.7
DOS(E_F), states/eV per cell: 12.4

# 13
The following is a PBE calculation of an optimized crystal structure of Cs3Dy2ScS6, from the Alexandria database.

Cell lengths 6.995, 6.995, 8.366 Å; angles 98.01, 98.01, 119.99 degrees
Sites, in units of the cell vectors:
S 0.381 0.060 0.178
S 0.060 0.381 0.178
Cs 0.168 0.832 0.500
Dy 0.667 0.333 0.000
S 0.738 0.738 0.179
S 0.619 0.940 0.822
Dy 0.333 0.667 0.000
Sc 0.000 0.000 0.000
Cs 0.832 0.168 0.500
S 0.262 0.262 0.821
Cs 0.500 0.500 0.500
S 0.940 0.619 0.822

Computed properties:
Raw formation energy, meV per atom: -1776.3
Space-group type: C2/m, No. 12
Electronic total energy, eV per cell: -64.2
DOS(E_F), states/eV per cell: 0.0

# 14
The following is a PBE calculation of an optimized crystal structure of LiGa, from the Alexandria database.

Cell lengths 8.080, 14.608, 4.662 Å; angles 90.00, 90.00, 90.00 degrees
Sites, in units of the cell vectors:
Li 0.836 0.000 0.000
Li 0.836 0.500 0.500
Ga 0.750 0.165 0.750
Li 0.086 0.250 0.750
Ga 0.250 0.165 0.250
Ga 0.500 0.915 0.000
Ga 0.500 0.085 0.000
Li 0.664 0.500 0.000
Li 0.414 0.250 0.750
Ga 0.250 0.665 0.750
Ga 0.000 0.585 0.000
Li 0.586 0.250 0.250
Li 0.164 0.000 0.000
Ga 0.500 0.415 0.500
Li 0.914 0.250 0.250
Ga 0.500 0.585 0.500
Ga 0.000 0.415 0.000
Li 0.914 0.750 0.750
Ga 0.750 0.835 0.250
Li 0.164 0.500 0.500
Li 0.586 0.750 0.750
Li 0.336 0.000 0.500
Li 0.664 0.000 0.500
Ga 0.250 0.335 0.250
Ga 0.250 0.835 0.750
Li 0.336 0.500 0.000
Ga 0.750 0.665 0.250
Li 0.086 0.750 0.250
Ga 0.750 0.335 0.750
Ga 0.000 0.085 0.500
Li 0.414 0.750 0.250
Ga 0.000 0.915 0.500

Computed properties:
Space-group type: Fddd, No. 70
Formation energy, meV per atom: -202
Electronic total energy, eV per cell: -85.5
DOS(E_F), states/eV per cell: 11.1

# 15
The following is a PBE calculation of an optimized crystal structure of LaPmP2, from the Alexandria database.

Cell lengths 4.134, 4.134, 7.567 Å; angles 74.15, 74.15, 60.00 degrees
Sites, in units of the cell vectors:
Pm 0.669 0.669 0.994
P 0.081 0.081 0.758
P 0.253 0.253 0.241
La 0.498 0.498 0.507

Computed properties:
ΔE to the lowest computed polymorph, meV/atom: 146.3
Space-group type: R3m, No. 160
Formation energy, meV per atom: -1421
Electronic total energy, eV per cell: -26.2
DOS(E_F), states/eV per cell: 0.2

# 16
The following is a PBE calculation of an optimized crystal structure of GaCuGe, from the Alexandria database.

Cell lengths 6.054, 3.973, 4.875 Å; angles 90.01, 71.47, 109.06 degrees
Sites, in units of the cell vectors:
Cu 0.920 0.111 0.361
Ga 0.000 0.157 0.823
Ge 0.203 0.752 0.345
Ge 0.475 0.891 0.682
Cu 0.370 0.338 0.001
Ga 0.693 0.500 0.239

Computed properties:
Space-group type: P1, No. 1
Formation energy, meV per atom: 105
Electronic total energy, eV per cell: -22.9
DOS(E_F), states/eV per cell: 2.5

# 17
The following is a PBE calculation of an optimized crystal structure of SiBAuC, from the Alexandria database.

Cell lengths 3.106, 3.106, 6.165 Å; angles 90.00, 90.00, 120.00 degrees
Sites, in units of the cell vectors:
B 0.333 0.667 0.595
C 0.000 0.000 0.176
Si 0.333 0.667 0.259
Au 0.000 0.000 0.804

Computed properties:
ΔE to the lowest computed polymorph, meV/atom: 311.3
Raw formation energy, meV per atom: 523.2
Space-group type: P3m1, No. 156
Electronic total energy, eV per cell: -22.5
DOS(E_F), states/eV per cell: 2.3

# 18
The following is a PBE calculation of an optimized crystal structure of K2Np2AgSe6, from the Alexandria database.

Cell lengths 7.148, 7.148, 8.156 Å; angles 97.59, 97.59, 121.10 degrees
Site moments in Bohr magnetons follow the coordinates.
Sites, in units of the cell vectors:
Se 0.060 0.415 0.700  -0.15
K 0.158 0.842 0.000  0.00
Ag 0.000 0.000 0.500  -0.07
Np 0.335 0.665 0.500  3.12
K 0.842 0.158 0.000  0.00
Se 0.715 0.715 0.699  -0.14
Se 0.415 0.060 0.700  -0.15
Se 0.585 0.940 0.300  -0.15
Se 0.285 0.285 0.301  -0.14
Se 0.940 0.585 0.300  -0.15
Np 0.665 0.335 0.500  3.12

Computed properties:
Raw formation energy, meV per atom: -989.6
Space-group type: C2/m, No. 12
Electronic total energy, eV per cell: -62.7
DOS(E_F), states/eV per cell: 18.3

# 19
The following is a PBE calculation of an optimized crystal structure of AgMo2Au2, from the Alexandria database.

Cell lengths 3.994, 3.994, 6.686 Å; angles 72.62, 72.62, 90.00 degrees
Sites, in units of the cell vectors:
Mo 0.589 0.589 0.823
Au 0.250 0.750 0.500
Au 0.750 0.250 0.500
Ag 0.000 0.000 0.000
Mo 0.411 0.411 0.177

Computed properties:
ΔE to the lowest computed polymorph, meV/atom: 191.8
Space-group type: I4/mmm, No. 139
Formation energy, meV per atom: 662
Electronic total energy, eV per cell: -27.8
DOS(E_F), states/eV per cell: 4.4

# 20
The following is a PBE calculation of an optimized crystal structure of Pd3BrN, from the Alexandria database.

Cell lengths 4.795, 4.795, 4.795 Å; angles 90.00, 90.00, 90.00 degrees
Site moments in Bohr magnetons follow the coordinates.
Sites, in units of the cell vectors:
Pd 0.000 0.000 0.500  0.07
Pd 0.000 0.500 0.000  0.02
Pd 0.500 0.000 0.000  -0.04
Br 0.000 0.000 0.000  0.01
N 0.500 0.500 0.500  1.61

Computed properties:
ΔE to the lowest computed polymorph, meV/atom: 1182.1
Raw formation energy, meV per atom: 1591.6
Space-group type: Pm-3m, No. 221
Electronic total energy, eV per cell: -17.6
DOS(E_F), states/eV per cell: 2.6